Entry 1:
VASP calculation (PBE) on SmScGa2Ni2 after structural relaxation.

abc: 4.276 4.276 6.761
angles: 90.00 90.00 120.00
Sites, in units of the cell vectors:
Sm  0.000  0.000  0.000
Sc  0.000  0.000  0.500
Ga  0.333  0.667  0.290
Ga  0.667  0.333  0.710
Ni  0.333  0.667  0.702
Ni  0.667  0.333  0.298

Calculated values
ΔE_f, eV per atom: -0.621
Magnetization, μB per formula unit: 0.000
Uncorrected energy, eV for the cell shown: -32.392



Entry 2:
VASP calculation (PBE) on SmScGa2Ni5 after structural relaxation.

abc: 3.930 3.930 8.878
angles: 90.00 90.00 90.00
Sites, in units of the cell vectors:
Sm  0.000  0.000  0.000
Sc  0.000  0.000  0.500
Ga  0.500  0.500  0.363
Ga  0.500  0.500  0.637
Ni  0.000  0.500  0.221
Ni  0.000  0.500  0.779
Ni  0.500  0.000  0.221
Ni  0.500  0.000  0.779
Ni  0.500  0.500  0.000

Calculated values
ΔE_f, eV per atom: -0.312
Magnetization, μB per formula unit: 0.000
Uncorrected energy, eV for the cell shown: -48.823



Entry 3:
VASP calculation (PBE) on Sc2GaNi7Sn2 after structural relaxation.

abc: 15.704 15.704 15.704
angles: 167.39 167.39 17.87
Sites, in units of the cell vectors:
Sc  0.124  0.124  0.000
Sc  0.876  0.876  0.000
Ga  0.500  0.500  0.000
Ni  0.000  0.000  0.000
Ni  0.061  0.561  0.500
Ni  0.226  0.226  0.000
Ni  0.439  0.939  0.500
Ni  0.561  0.061  0.500
Ni  0.774  0.774  0.000
Ni  0.939  0.439  0.500
Sn  0.310  0.310  0.000
Sn  0.690  0.690  0.000

Calculated values
ΔE_f, eV per atom: -0.207
Magnetization, μB per formula unit: 0.000
Uncorrected energy, eV for the cell shown: -66.651



Entry 4:
VASP calculation (PBE) on Sc2Ga2Ni5Sn after structural relaxation.

abc: 9.167 9.167 3.549
angles: 90.00 90.00 90.00
Sites, in units of the cell vectors:
Sc  0.177  0.323  0.000
Sc  0.323  0.823  0.000
Sc  0.677  0.177  0.000
Sc  0.823  0.677  0.000
Ga  0.119  0.619  0.000
Ga  0.381  0.119  0.000
Ga  0.619  0.881  0.000
Ga  0.881  0.381  0.000
Ni  0.000  0.500  0.500
Ni  0.064  0.788  0.500
Ni  0.212  0.064  0.500
Ni  0.288  0.564  0.500
Ni  0.436  0.288  0.500
Ni  0.500  0.000  0.500
Ni  0.564  0.712  0.500
Ni  0.712  0.436  0.500
Ni  0.788  0.936  0.500
Ni  0.936  0.212  0.500
Sn  0.000  0.000  0.000
Sn  0.500  0.500  0.000

Calculated values
ΔE_f, eV per atom: -0.420
Magnetization, μB per formula unit: 0.000
Uncorrected energy, eV for the cell shown: -111.662



Entry 5:
VASP calculation (PBE) on ScGaNi2Sn after structural relaxation.

abc: 4.561 4.561 5.163
angles: 90.00 90.00 90.00
Sites, in units of the cell vectors:
Sc  0.000  0.000  0.000
Ga  0.000  0.000  0.500
Ni  0.000  0.500  0.000
Ni  0.500  0.000  0.000
Sn  0.500  0.500  0.500

Calculated values
ΔE_f, eV per atom: 0.717
Magnetization, μB per formula unit: 0.000
Uncorrected energy, eV for the cell shown: -21.338



Entry 6:
VASP calculation (PBE) on Tb2ScGa3Ni4 after structural relaxation.

abc: 4.029 4.029 10.604
angles: 90.00 90.00 90.00
Sites, in units of the cell vectors:
Tb  0.000  0.500  0.233
Tb  0.500  0.000  0.767
Sc  0.000  0.000  0.500
Ga  0.000  0.500  0.877
Ga  0.500  0.000  0.123
Ga  0.500  0.500  0.500
Ni  0.000  0.000  0.000
Ni  0.000  0.500  0.651
Ni  0.500  0.000  0.349
Ni  0.500  0.500  0.000

Calculated values
ΔE_f, eV per atom: -0.554
Magnetization, μB per formula unit: 0.000
Uncorrected energy, eV for the cell shown: -53.338



Entry 7:
VASP calculation (PBE) on TbScGa2Ni5 after structural relaxation.

abc: 3.899 3.899 8.875
angles: 90.00 90.00 90.00
Sites, in units of the cell vectors:
Tb  0.000  0.000  0.000
Sc  0.000  0.000  0.500
Ga  0.500  0.500  0.362
Ga  0.500  0.500  0.638
Ni  0.000  0.500  0.218
Ni  0.000  0.500  0.782
Ni  0.500  0.000  0.218
Ni  0.500  0.000  0.782
Ni  0.500  0.500  0.000

Calculated values
ΔE_f, eV per atom: -0.353
Magnetization, μB per formula unit: 0.000
Uncorrected energy, eV for the cell shown: -49.103



Entry 8:
VASP calculation (PBE) on TbScGaNi after structural relaxation.

abc: 4.799 4.799 4.799
angles: 60.00 60.00 60.00
Sites, in units of the cell vectors:
Tb  0.000  0.000  0.000
Sc  0.500  0.500  0.500
Ga  0.250  0.250  0.250
Ni  0.750  0.750  0.750

Calculated values
ΔE_f, eV per atom: -0.461
Magnetization, μB per formula unit: 0.000
Uncorrected energy, eV for the cell shown: -21.616